No. 1
The following is a DFT calculation (GGA-PBE) of La12Tb3Pm after structural relaxation.

The calculation puts the formation enthalpy at 0 K at 0.008 eV per atom. Its crystal system is tetragonal.

The space group is P4/mmm (No. 123) and the conventional cell measures 5.221, 5.221 and 20.875 Å, with angles of 90.00, 90.00 and 90.00 degrees. The distinct sites, in fractional coordinates, are La at (0.000, 0.000, 0.000), La at (0.000, 0.000, 0.249), La at (0.000, 0.000, 0.500), La at (0.000, 0.500, 0.125), La at (0.000, 0.500, 0.374), Tb at (0.500, 0.500, 0.000), Tb at (0.500, 0.500, 0.249) and Pm at (0.500, 0.500, 0.500).

***

No. 2
The following is a DFT calculation (GGA-PBE) of La2TbPm after structural relaxation.

The calculation puts the formation enthalpy at 0 K at 0.010 eV per atom. Its crystal system is trigonal.

The space group is R-3m (No. 166, hexagonal axes) and the conventional cell measures 3.6883, 3.6883 and 35.6221 Å, with angles of 90.00, 90.00 and 120.00 degrees. The distinct sites, in fractional coordinates, are La at (0.0000, 0.0000, 0.2490), Tb at (0.0000, 0.0000, 0.5000) and Pm at (0.0000, 0.0000, 0.0000).

***

What is the formula in the second record? La2TbPm